1.
# CdCo2Rh

A geometry-optimized CdCo2Rh structure (PBE, Alexandria).

Unit cell a=6.9422 b=6.9422 c=5.2797 alpha=90.00 beta=90.00 gamma=90.00
With the nearest neighbours (Å) after each atom.
Space group I-42d (No. 122)
Symmetry-distinct sites (fractional):
Cd1 0.0000 0.0000 0.0000 [4 per cell]  2 Rh 2.64, 4 Co 2.71
Co1 0.2158 0.2500 0.6250 [8 per cell]  2 Rh 2.39
Rh1 0.0000 0.0000 0.5000 [4 per cell]  4 Co 2.39, 2 Cd 2.64

2.
# Y3Os

A geometry-optimized Y3Os structure (PBE, Alexandria).

Unit cell a=7.4293 b=9.0915 c=6.3645 alpha=90.00 beta=90.00 gamma=90.00
With the nearest neighbours (Å) after each atom.
Space group Pnma (No. 62)
Symmetry-distinct sites (fractional):
Y1 0.0405 0.2500 0.1289 [4 per cell]  2 Os 2.76-2.85
Y2 0.1741 0.0629 0.6675 [8 per cell]  3 Os 2.87-3.16
Os1 0.1170 0.7500 0.4620 [4 per cell]  6 Y 2.76-2.97

3.
# P3Ir2Au

A geometry-optimized P3Ir2Au structure (PBE, Alexandria).

Summary:
Offset from the most stable computed form (meV/atom): 80

Unit cell a=3.4233 b=4.4460 c=13.8517 alpha=90.00 beta=90.00 gamma=90.00
With the nearest neighbours (Å) after each atom.
Space group Amm2 (No. 38)
Symmetry-distinct sites (fractional):
P1 0.0000 0.0000 0.0000 [2 per cell]  4 Ir 2.37-2.38, 1 Au 2.60
P2 0.0000 0.0000 0.2425 [2 per cell]  2 Au 2.42, 2 Ir 2.43
P3 0.5000 0.0000 0.5546 [2 per cell]  4 Ir 2.34-2.39
Ir1 0.0000 0.0000 0.4395 [2 per cell]  4 P 2.34-2.38
Ir2 0.5000 0.0000 0.1178 [2 per cell]  6 P 2.37-2.43
Au1 0.0000 0.0000 0.8124 [2 per cell]  3 P 2.42-2.60

4.
# BaPSe2

A geometry-optimized BaPSe2 structure (PBE, Alexandria).

Summary:
Offset from the most stable computed form (meV/atom): 620
E_form (uncorrected) (eV/atom): -0.29

Unit cell a=7.4787 b=7.4787 c=7.4787 alpha=90.00 beta=90.00 gamma=90.00
With the nearest neighbours (Å) after each atom.
Space group Fm-3m (No. 225)
Symmetry-distinct sites (fractional):
Ba1 0.0000 0.0000 0.0000 [4 per cell]  8 Se 3.24
P1 0.0000 0.0000 0.5000 [4 per cell]  8 Se 3.24
Se1 0.2500 0.2500 0.2500 [8 per cell]  4 P 3.24, 4 Ba 3.24

Per-record calculated volume, Å³/atom: 15.9, 26.9, 17.6, 26.1
Per-record E, eV for the cell shown: -80.4, -126.3, -76.7, -61.8
Per-record theoretical density, Mg/m³: 8.70, 7.06, 10.62, 5.18